1.
DFT (PBE) results for a geometry-optimized Ba4Bi2Sb2Pd structure.

abc: 10.6230 9.6223 6.8592
angles: 90.00 91.51 90.00
Last column: nearest neighbours and their distance in Å.
Space group C2/m (No. 12)
Inequivalent atoms, fractional coordinates:
Ba1 0.1354 0.2459 0.2487 (multiplicity 8)  1 Pd 3.34, 3 Bi 3.58-3.71, 3 Sb 3.60-3.72
Bi1 0.1091 0.0000 0.6622 (multiplicity 4)  1 Bi 3.17
Sb1 0.1054 0.5000 0.8566 (multiplicity 4)  1 Pd 2.66
Pd1 0.0000 0.5000 0.5000 (multiplicity 2)  2 Sb 2.66

E_form (uncorrected), eV per atom: -0.82
E, eV/atom: -4.0307

***

2.
DFT (PBE) results for a geometry-optimized CsTlClF2 structure.

abc: 4.8664 4.8664 5.5293
angles: 90.00 90.00 90.00
Last column: nearest neighbours and their distance in Å.
Space group P4/mmm (No. 123)
Inequivalent atoms, fractional coordinates:
Cs1 0.0000 0.0000 0.0000 (multiplicity 1)  4 Cl 3.44, 8 F 3.68
Tl1 0.5000 0.5000 0.5000 (multiplicity 1)  4 F 2.43
Cl1 0.5000 0.5000 0.0000 (multiplicity 1)  2 Tl 2.76
F1 0.0000 0.5000 0.5000 (multiplicity 2)  2 Tl 2.43

E_form (uncorrected), eV per atom: -1.87
E, eV/atom: -3.6276

***

3.
DFT (PBE) results for a geometry-optimized CsCaGa2Ir structure.

abc: 4.9782 4.9782 5.5749
angles: 90.00 90.00 90.00
Last column: nearest neighbours and their distance in Å.
Space group P4/mmm (No. 123)
Inequivalent atoms, fractional coordinates:
Cs1 0.0000 0.0000 0.0000 (multiplicity 1)  4 Ca 3.52, 8 Ga 3.74
Ca1 0.5000 0.5000 0.0000 (multiplicity 1)  2 Ir 2.79
Ga1 0.0000 0.5000 0.5000 (multiplicity 2)  2 Ir 2.49
Ir1 0.5000 0.5000 0.5000 (multiplicity 1)  4 Ga 2.49, 2 Ca 2.79

Formation enthalpy at 0 K, eV per formula unit: -1.3
E, eV/atom: -3.8053